The following is a DFT calculation (GGA-PBE) of a relaxed structure of LiEuThGa.

CIF file:
```
data_LiEuThGa
_chemical_formula_sum 'Li1 Eu1 Th1 Ga1'
_cell_length_a 5.268
_cell_length_b 5.268
_cell_length_c 5.268
_cell_angle_alpha 60.00
_cell_angle_beta 60.00
_cell_angle_gamma 60.00
_space_group_name_H-M_alt 'P 1'
_space_group_IT_number 1
_space_group_name_Hall 'P 1'
loop_
_atom_site_label
_atom_site_fract_x
_atom_site_fract_y
_atom_site_fract_z
Li1 0.000 0.000 0.000
Eu1 0.750 0.750 0.750
Th1 0.250 0.250 0.250
Ga1 0.500 0.500 0.500
```

SG ... F-43m, No. 216
Formation enthalpy at 0 K ... -0.112 eV/atom
DOS at the Fermi energy ... 6.7 states/eV/f.u.